Entry 1:
First-principles (PBE-GGA) data for a relaxed YCu3Au crystal, as listed in the Alexandria database.

Cell and atoms, written as CIF:
```
data_YCu3Au
_cell_length_a 5.034
_cell_length_b 5.034
_cell_length_c 5.034
_cell_angle_alpha 90.00
_cell_angle_beta 90.00
_cell_angle_gamma 90.00
_symmetry_space_group_name_H-M 'P m -3 m'
_symmetry_Int_Tables_number 221
_symmetry_space_group_name_Hall '-P 4 2 3'
loop_
_atom_site_label
_atom_site_type_symbol
_atom_site_fract_x
_atom_site_fract_y
_atom_site_fract_z
Y1 Y 0.000 0.000 0.000
Cu1 Cu 0.000 0.000 0.500
Au1 Au 0.500 0.500 0.500
```

Density of states at the Fermi level ... 0.499 states/eV per atom
Polymorph energy (0 for the lowest one) ... 987.9 meV per atom
M_tot ... 0.00 μB/f.u.



Entry 2:
First-principles (PBE-GGA) data for a relaxed Y6Cu2Au crystal, as listed in the Alexandria database.

Cell and atoms, written as CIF:
```
data_Y6Cu2Au
_cell_length_a 9.581
_cell_length_b 9.712
_cell_length_c 9.921
_cell_angle_alpha 90.00
_cell_angle_beta 90.00
_cell_angle_gamma 90.00
_symmetry_space_group_name_H-M 'I m m m'
_symmetry_Int_Tables_number 71
_symmetry_space_group_name_Hall '-I 2 2'
loop_
_atom_site_label
_atom_site_type_symbol
_atom_site_fract_x
_atom_site_fract_y
_atom_site_fract_z
Y1 Y 0.000 0.189 0.247
Y2 Y 0.200 0.500 0.174
Y3 Y 0.226 0.321 0.500
Cu1 Cu 0.000 0.355 0.000
Cu2 Cu 0.000 0.500 0.379
Au1 Au 0.000 0.000 0.000
Au2 Au 0.000 0.000 0.500
```

Density of states at the Fermi level ... 1.067 states/eV per atom
M_tot ... 0.00 μB/f.u.



Entry 3:
First-principles (PBE-GGA) data for a relaxed YCu5Au crystal, as listed in the Alexandria database.

Cell and atoms, written as CIF:
```
data_YCu5Au
_cell_length_a 8.147
_cell_length_b 5.049
_cell_length_c 10.331
_cell_angle_alpha 90.00
_cell_angle_beta 90.00
_cell_angle_gamma 90.00
_symmetry_space_group_name_H-M 'P n m a'
_symmetry_Int_Tables_number 62
loop_
_symmetry_equiv_pos_as_xyz
'x,y,z'
'-x,-y,-z'
'-x+1/2,-y,z+1/2'
'x+1/2,y,-z+1/2'
'x+1/2,-y+1/2,-z+1/2'
'-x+1/2,y+1/2,z+1/2'
'-x,y+1/2,-z'
'x,-y+1/2,z'
loop_
_atom_site_label
_atom_site_type_symbol
_atom_site_fract_x
_atom_site_fract_y
_atom_site_fract_z
Y1 Y 0.241 0.250 0.065
Cu1 Cu 0.057 0.750 0.104
Cu2 Cu 0.067 0.002 0.313
Cu3 Cu 0.090 0.250 0.517
Cu4 Cu 0.185 0.250 0.748
Au1 Au 0.138 0.750 0.861
```

Density of states at the Fermi level ... 0.378 states/eV per atom
M_tot ... 0.00 μB/f.u.



Entry 4:
First-principles (PBE-GGA) data for a relaxed Y4CuAu3 crystal, as listed in the Alexandria database.

Cell and atoms, written as CIF:
```
data_Y4CuAu3
_cell_length_a 3.736
_cell_length_b 4.653
_cell_length_c 10.934
_cell_angle_alpha 90.00
_cell_angle_beta 90.00
_cell_angle_gamma 90.00
_symmetry_space_group_name_H-M 'P m m 2'
_symmetry_Int_Tables_number 25
loop_
_symmetry_equiv_pos_as_xyz
'x,y,z'
'-x,-y,z'
'-x,y,z'
'x,-y,z'
loop_
_atom_site_label
_atom_site_type_symbol
_atom_site_fract_x
_atom_site_fract_y
_atom_site_fract_z
Y1 Y 0.000 0.000 0.000
Y2 Y 0.000 0.500 0.272
Y3 Y 0.500 0.000 0.491
Y4 Y 0.500 0.500 0.776
Cu1 Cu 0.500 0.000 0.215
Au1 Au 0.000 0.000 0.723
Au2 Au 0.000 0.500 0.547
Au3 Au 0.500 0.500 0.057
```

Density of states at the Fermi level ... 0.878 states/eV per atom
M_tot ... 0.00 μB/f.u.



Entry 5:
First-principles (PBE-GGA) data for a relaxed Y2CuAu crystal, as listed in the Alexandria database.

Cell and atoms, written as CIF:
```
data_Y2CuAu
_cell_length_a 3.766
_cell_length_b 4.584
_cell_length_c 5.674
_cell_angle_alpha 90.00
_cell_angle_beta 108.76
_cell_angle_gamma 90.00
_symmetry_space_group_name_H-M 'P 1 m 1'
_symmetry_Int_Tables_number 6
loop_
_symmetry_equiv_pos_as_xyz
'x,y,z'
'x,-y,z'
loop_
_atom_site_label
_atom_site_type_symbol
_atom_site_fract_x
_atom_site_fract_y
_atom_site_fract_z
Y1 Y 0.000 0.000 0.000
Y2 Y 0.276 0.500 0.560
Cu1 Cu 0.716 0.000 0.440
Au1 Au 0.562 0.500 0.125
```

Density of states at the Fermi level ... 0.800 states/eV per atom
M_tot ... 0.00 μB/f.u.



Entry 6:
First-principles (PBE-GGA) data for a relaxed Y2CuAu crystal, as listed in the Alexandria database.

Cell and atoms, written as CIF:
```
data_Y2CuAu
_cell_length_a 5.730
_cell_length_b 4.593
_cell_length_c 7.474
_cell_angle_alpha 90.00
_cell_angle_beta 109.77
_cell_angle_gamma 90.00
_symmetry_space_group_name_H-M 'P 1 21/m 1'
_symmetry_Int_Tables_number 11
loop_
_symmetry_equiv_pos_as_xyz
'x,y,z'
'-x,-y,-z'
'-x,y+1/2,-z'
'x,-y+1/2,z'
loop_
_atom_site_label
_atom_site_type_symbol
_atom_site_fract_x
_atom_site_fract_y
_atom_site_fract_z
Y1 Y 0.213 0.250 0.429
Y2 Y 0.226 0.250 0.929
Cu1 Cu 0.345 0.750 0.706
Au1 Au 0.339 0.750 0.213
```

Density of states at the Fermi level ... 0.799 states/eV per atom
M_tot ... 0.00 μB/f.u.



Entry 7:
First-principles (PBE-GGA) data for a relaxed Y2CuAu crystal, as listed in the Alexandria database.

Cell and atoms, written as CIF:
```
data_Y2CuAu
_cell_length_a 3.162
_cell_length_b 5.483
_cell_length_c 11.369
_cell_angle_alpha 90.00
_cell_angle_beta 90.00
_cell_angle_gamma 90.00
_symmetry_space_group_name_H-M 'I m m m'
_symmetry_Int_Tables_number 71
_symmetry_space_group_name_Hall '-I 2 2'
loop_
_atom_site_label
_atom_site_type_symbol
_atom_site_fract_x
_atom_site_fract_y
_atom_site_fract_z
Y1 Y 0.000 0.000 0.243
Cu1 Cu 0.000 0.000 0.000
Au1 Au 0.000 0.000 0.500
```

Density of states at the Fermi level ... 0.834 states/eV per atom
M_tot ... 0.00 μB/f.u.



Entry 8:
First-principles (PBE-GGA) data for a relaxed Y2Cu2Au crystal, as listed in the Alexandria database.

Cell and atoms, written as CIF:
```
data_Y2Cu2Au
_cell_length_a 3.511
_cell_length_b 3.511
_cell_length_c 17.125
_cell_angle_alpha 90.00
_cell_angle_beta 90.00
_cell_angle_gamma 90.00
_symmetry_space_group_name_H-M 'I 4/m m m'
_symmetry_Int_Tables_number 139
_symmetry_space_group_name_Hall '-I 4 2'
loop_
_atom_site_label
_atom_site_type_symbol
_atom_site_fract_x
_atom_site_fract_y
_atom_site_fract_z
Y1 Y 0.000 0.000 0.108
Cu1 Cu 0.000 0.500 0.250
Au1 Au 0.000 0.000 0.500
```

Density of states at the Fermi level ... 0.832 states/eV per atom
Polymorph energy (0 for the lowest one) ... 137.9 meV per atom
M_tot ... 0.00 μB/f.u.



Entry 9:
First-principles (PBE-GGA) data for a relaxed Y2CuAu crystal, as listed in the Alexandria database.

Cell and atoms, written as CIF:
```
data_Y2CuAu
_cell_length_a 5.036
_cell_length_b 5.036
_cell_length_c 3.543
_cell_angle_alpha 90.00
_cell_angle_beta 90.00
_cell_angle_gamma 90.00
_symmetry_space_group_name_H-M 'P 4/m m m'
_symmetry_Int_Tables_number 123
_symmetry_space_group_name_Hall '-P 4 2'
loop_
_atom_site_label
_atom_site_type_symbol
_atom_site_fract_x
_atom_site_fract_y
_atom_site_fract_z
Y1 Y 0.000 0.500 0.000
Cu1 Cu 0.000 0.000 0.500
Au1 Au 0.500 0.500 0.500
```

Density of states at the Fermi level ... 0.525 states/eV per atom
M_tot ... 0.00 μB/f.u.



Entry 10:
First-principles (PBE-GGA) data for a relaxed Y2CuAu crystal, as listed in the Alexandria database.

Cell and atoms, written as CIF:
```
data_Y2CuAu
_cell_length_a 7.520
_cell_length_b 7.520
_cell_length_c 7.365
_cell_angle_alpha 90.00
_cell_angle_beta 90.00
_cell_angle_gamma 90.00
_symmetry_space_group_name_H-M 'I -4 2 d'
_symmetry_Int_Tables_number 122
_symmetry_space_group_name_Hall 'I -4 2bw'
loop_
_atom_site_label
_atom_site_type_symbol
_atom_site_fract_x
_atom_site_fract_y
_atom_site_fract_z
Y1 Y 0.238 0.250 0.125
Cu1 Cu 0.000 0.000 0.000
Au1 Au 0.000 0.000 0.500
```

Density of states at the Fermi level ... 2.708 states/eV per atom
M_tot ... 0.00 μB/f.u.



Entry 11:
First-principles (PBE-GGA) data for a relaxed Y3CuAu2 crystal, as listed in the Alexandria database.

Cell and atoms, written as CIF:
```
data_Y3CuAu2
_cell_length_a 5.0480
_cell_length_b 5.0480
_cell_length_c 12.4504
_cell_angle_alpha 90.00
_cell_angle_beta 90.00
_cell_angle_gamma 120.00
_symmetry_space_group_name_H-M 'P -3 m 1'
_symmetry_Int_Tables_number 164
_symmetry_space_group_name_Hall '-P 3 2"'
loop_
_atom_site_label
_atom_site_type_symbol
_atom_site_fract_x
_atom_site_fract_y
_atom_site_fract_z
Y1 Y 0.0000 0.0000 0.2466
Y2 Y 0.3333 0.6667 0.4145
Y3 Y 0.3333 0.6667 0.9182
Cu1 Cu 0.3333 0.6667 0.1680
Au1 Au 0.0000 0.0000 0.0000
Au2 Au 0.0000 0.0000 0.5000
Au3 Au 0.3333 0.6667 0.6746
```

Density of states at the Fermi level ... 0.545 states/eV per atom
M_tot ... 0.00 μB/f.u.



Entry 12:
First-principles (PBE-GGA) data for a relaxed Y2Cu3Au crystal, as listed in the Alexandria database.

Cell and atoms, written as CIF:
```
data_Y2Cu3Au
_cell_length_a 3.860
_cell_length_b 3.903
_cell_length_c 15.957
_cell_angle_alpha 90.00
_cell_angle_beta 90.00
_cell_angle_gamma 90.00
_symmetry_space_group_name_H-M 'I m m 2'
_symmetry_Int_Tables_number 44
loop_
_symmetry_equiv_pos_as_xyz
'x,y,z'
'-x,-y,z'
'-x,y,z'
'x,-y,z'
'x+1/2,y+1/2,z+1/2'
'-x+1/2,-y+1/2,z+1/2'
'-x+1/2,y+1/2,z+1/2'
'x+1/2,-y+1/2,z+1/2'
loop_
_atom_site_label
_atom_site_type_symbol
_atom_site_fract_x
_atom_site_fract_y
_atom_site_fract_z
Y1 Y 0.000 0.000 0.000
Y2 Y 0.000 0.500 0.261
Cu1 Cu 0.000 0.000 0.421
Cu2 Cu 0.000 0.500 0.686
Cu3 Cu 0.000 0.500 0.836
Au1 Au 0.000 0.000 0.585
```

Density of states at the Fermi level ... 0.520 states/eV per atom
Polymorph energy (0 for the lowest one) ... 29.8 meV per atom
M_tot ... 0.00 μB/f.u.



Energy relative to the elements (eV per atom)
1.305 -0.298 -0.259 -0.720 -0.565 -0.567 0.526 -0.303 -0.550 -0.145 -0.652 -0.377